# 1
First-principles (PBE-GGA) data for crystalline AcGe2Cl8 at its relaxed geometry, as listed in the Alexandria database.

a b c (Å): 8.095 7.481 7.481
angles (deg): 66.51 70.93 70.93
Element x y z (fractional)
Ac  0.000  0.000  0.000
Ge  0.633  0.864  0.864
Ge  0.367  0.136  0.136
Cl  0.201  0.311  0.875
Cl  0.799  0.125  0.689
Cl  0.339  0.809  0.809
Cl  0.661  0.191  0.191
Cl  0.201  0.875  0.311
Cl  0.799  0.689  0.125
Cl  0.796  0.674  0.674
Cl  0.204  0.326  0.326

Output
- Crystal system: monoclinic
- ΔE_f (raw): -1250 meV/atom

# 2
First-principles (PBE-GGA) data for crystalline AgPb3S at its relaxed geometry, as listed in the Alexandria database.

a b c (Å): 5.458 5.458 5.458
angles (deg): 90.00 90.00 90.00
Element x y z (fractional)
Pb  0.000  0.500  0.000
Pb  0.000  0.000  0.500
Pb  0.500  0.000  0.000
S  0.500  0.500  0.500
Ag  0.000  0.000  0.000

Output
- Crystal system: cubic
- ΔE_f (raw): 449 meV/atom
- Offset from the most stable computed form: 153.4 meV/atom

# 3
First-principles (PBE-GGA) data for crystalline BeReRh at its relaxed geometry, as listed in the Alexandria database.

a b c (Å): 3.997 3.997 3.997
angles (deg): 60.00 60.00 60.00
Element x y z (fractional)
Re  0.250  0.250  0.250
Rh  0.500  0.500  0.500
Be  0.750  0.750  0.750

Output
- Crystal system: cubic
- Offset from the most stable computed form: 554.6 meV/atom
- Energy of formation: 0.8 eV/f.u.

# 4
First-principles (PBE-GGA) data for crystalline Mg2NiOs at its relaxed geometry, as listed in the Alexandria database.

a b c (Å): 6.236 4.848 2.693
angles (deg): 90.06 64.32 121.51
Element x y z (fractional)
Mg  0.000  0.000  0.000
Mg  0.500  0.000  0.500
Ni  0.000  0.500  0.500
Os  0.500  0.500  0.000

Output
- Crystal system: orthorhombic
- Offset from the most stable computed form: 70.8 meV/atom
- Energy of formation: 0.5 eV/f.u.

# 5
First-principles (PBE-GGA) data for crystalline KTiHgF6 at its relaxed geometry, as listed in the Alexandria database.

a b c (Å): 6.303 6.303 9.550
angles (deg): 90.00 90.00 120.00
Each line ends with the local moment (μB).
Element x y z (fractional)
K  0.000  0.000  0.000  0.00
K  0.000  0.000  0.500  0.00
Ti  0.667  0.333  0.250  0.06
Ti  0.333  0.667  0.750  0.06
Hg  0.333  0.667  0.250  0.44
Hg  0.667  0.333  0.750  0.44
F  0.671  0.584  0.137  0.03
F  0.913  0.329  0.137  0.03
F  0.329  0.913  0.637  0.03
F  0.087  0.671  0.863  0.03
F  0.416  0.329  0.363  0.03
F  0.913  0.584  0.363  0.03
F  0.584  0.913  0.863  0.03
F  0.671  0.087  0.363  0.03
F  0.087  0.416  0.637  0.03
F  0.416  0.087  0.137  0.03
F  0.584  0.671  0.637  0.03
F  0.329  0.416  0.863  0.03

Output
- Crystal system: trigonal
- ΔE_f (raw): -2737 meV/atom

# 6
First-principles (PBE-GGA) data for crystalline NpPN at its relaxed geometry, as listed in the Alexandria database.

a b c (Å): 3.067 3.067 5.738
angles (deg): 105.50 105.50 90.00
Each line ends with the local moment (μB).
Element x y z (fractional)
Np  0.721  0.721  0.442  2.90
P  0.000  0.000  0.000  -0.07
N  0.279  0.279  0.558  -0.21

Output
- Crystal system: tetragonal
- ΔE_f (raw): -202 meV/atom
- Offset from the most stable computed form: 739.3 meV/atom

| no. | density (Mg/m³) |
| --- | --- |
| 1 | 2.85 |
| 2 | 7.78 |
| 3 | 10.97 |
| 4 | 8.26 |
| 5 | 4.06 |
| 6 | 9.37 |